[1]
First-principles (GGA-PBE) data for a relaxed CsYRe2Tc crystal, as listed in the Alexandria database. Values from VASP.

Summary:
For the size of the total moment, the calculation gives 4.72 Bohr magnetons per cell. The calculation puts the energy of formation at 14.14 eV per formula unit. As for the space group: P4/mmm, No. 123. As for the density: 8.5 g cm⁻³.

```
&SYSTEM
  ibrav = 0, nat = 5, ntyp = 4
/
ATOMIC_SPECIES
Cs 132.91 Cs.upf
Y 88.91 Y.upf
Re 186.21 Re.upf
Tc 98.00 Tc.upf
CELL_PARAMETERS angstrom
5.1469 0.0000 0.0000
0.0000 5.1469 0.0000
0.0000 0.0000 5.1079
ATOMIC_POSITIONS crystal
Cs 0.0000 0.0000 0.0000
Y 0.5000 0.5000 0.5000
Re 0.0000 0.5000 0.5000
Re 0.5000 0.0000 0.5000
Tc 0.5000 0.5000 0.0000
```


[2]
First-principles (GGA-PBE) data for a relaxed NaInBiAs2 crystal, as listed in the Alexandria database. Values from VASP.

Summary:
For the size of the total moment, the calculation gives 0.00 Bohr magnetons per cell. The calculation puts the energy of formation at 2.56 eV per formula unit. As for the space group: P4/mmm, No. 123. As for the density: 5.0 g cm⁻³.

```
&SYSTEM
  ibrav = 0, nat = 5, ntyp = 4
/
ATOMIC_SPECIES
Na 22.99 Na.upf
In 114.82 In.upf
Bi 208.98 Bi.upf
As 74.92 As.upf
CELL_PARAMETERS angstrom
5.3323 0.0000 0.0000
0.0000 5.3323 0.0000
0.0000 0.0000 5.8408
ATOMIC_POSITIONS crystal
Na 0.0000 0.0000 0.0000
In 0.5000 0.5000 0.5000
Bi 0.5000 0.5000 0.0000
As 0.0000 0.5000 0.5000
As 0.5000 0.0000 0.5000
```


[3]
First-principles (GGA-PBE) data for a relaxed CdI2Br2 crystal, as listed in the Alexandria database. Values from VASP.

Summary:
For the size of the total moment, the calculation gives 0.00 Bohr magnetons per cell. The value obtained for the energy relative to the elements, uncorrected is 0.012 eV/atom. As for the space group: I4/mmm, No. 139. As for the relative energy among the computed polymorphs: 3.55 kcal/mol of atoms. As for the density: 4.6 g cm⁻³.

```
&SYSTEM
  ibrav = 0, nat = 5, ntyp = 3
/
ATOMIC_SPECIES
Cd 112.41 Cd.upf
I 126.90 I.upf
Br 79.90 Br.upf
CELL_PARAMETERS angstrom
-1.9781 1.9781 12.2448
1.9781 -1.9781 12.2448
1.9781 1.9781 -12.2448
ATOMIC_POSITIONS crystal
Cd 0.0000 0.0000 0.0000
I 0.4248 0.4248 0.0000
I 0.5752 0.5752 0.0000
Br 0.2500 0.7500 0.5000
Br 0.7500 0.2500 0.5000
```


[4]
First-principles (GGA-PBE) data for a relaxed Li2PbAu3 crystal, as listed in the Alexandria database. Values from VASP.

Summary:
For the size of the total moment, the calculation gives 0.00 Bohr magnetons per cell. The calculation puts the energy of formation at -2.22 eV per formula unit. As for the space group: P4/mmm, No. 123. As for the relative energy among the computed polymorphs: 0.00 kcal/mol of atoms. As for the density: 12.2 g cm⁻³.

```
&SYSTEM
  ibrav = 0, nat = 6, ntyp = 3
/
ATOMIC_SPECIES
Li 6.94 Li.upf
Pb 207.20 Pb.upf
Au 196.97 Au.upf
CELL_PARAMETERS angstrom
3.3165 0.0000 0.0000
0.0000 3.3165 0.0000
0.0000 0.0000 10.0564
ATOMIC_POSITIONS crystal
Li 0.0000 0.0000 0.1480
Li 0.0000 0.0000 0.8520
Pb 0.0000 0.0000 0.5000
Au 0.5000 0.5000 0.0000
Au 0.5000 0.5000 0.2846
Au 0.5000 0.5000 0.7154
```


[5]
First-principles (GGA-PBE) data for a relaxed YGa2 crystal, as listed in the Alexandria database. Values from VASP.

Summary:
For the size of the total moment, the calculation gives 0.00 Bohr magnetons per cell. The calculation puts the energy of formation at -1.99 eV per formula unit. As for the space group: P6/mmm, No. 191. As for the density: 6.0 g cm⁻³.

```
&SYSTEM
  ibrav = 0, nat = 3, ntyp = 2
/
ATOMIC_SPECIES
Y 88.91 Y.upf
Ga 69.72 Ga.upf
CELL_PARAMETERS angstrom
4.2153 0.0000 0.0000
-2.1076 3.6506 0.0000
0.0000 0.0000 4.1225
ATOMIC_POSITIONS crystal
Y 0.0000 0.0000 0.0000
Ga 0.3333 0.6667 0.5000
Ga 0.6667 0.3333 0.5000
```


[6]
First-principles (GGA-PBE) data for a relaxed InNiTe2I crystal, as listed in the Alexandria database. Values from VASP.

Summary:
For the size of the total moment, the calculation gives 1.79 Bohr magnetons per cell. The value obtained for the energy relative to the elements, uncorrected is 0.897 eV/atom. As for the space group: P4/mmm, No. 123. As for the relative energy among the computed polymorphs: 18.36 kcal/mol of atoms. As for the density: 4.8 g cm⁻³.

```
&SYSTEM
  ibrav = 0, nat = 5, ntyp = 4
/
ATOMIC_SPECIES
In 114.82 In.upf
Ni 58.69 Ni.upf
Te 127.60 Te.upf
I 126.90 I.upf
CELL_PARAMETERS angstrom
5.7030 0.0000 0.0000
0.0000 5.7030 0.0000
0.0000 0.0000 5.8513
ATOMIC_POSITIONS crystal
In 0.0000 0.0000 0.0000
Ni 0.5000 0.5000 0.5000
Te 0.0000 0.5000 0.0000
Te 0.5000 0.0000 0.0000
I 0.0000 0.0000 0.5000
```


[7]
First-principles (GGA-PBE) data for a relaxed ZrCdRu2 crystal, as listed in the Alexandria database. Values from VASP.

Summary:
For the size of the total moment, the calculation gives 0.64 Bohr magnetons per cell. The calculation puts the energy of formation at -0.46 eV per formula unit. As for the space group: P4/mmm, No. 123. As for the density: 9.9 g cm⁻³.

```
&SYSTEM
  ibrav = 0, nat = 4, ntyp = 3
/
ATOMIC_SPECIES
Zr 91.22 Zr.upf
Cd 112.41 Cd.upf
Ru 101.07 Ru.upf
CELL_PARAMETERS angstrom
4.4885 0.0000 0.0000
0.0000 4.4885 0.0000
0.0000 0.0000 3.3806
ATOMIC_POSITIONS crystal
Zr 0.0000 0.0000 0.0000
Cd 0.5000 0.5000 0.0000
Ru 0.0000 0.5000 0.5000
Ru 0.5000 0.0000 0.5000
```


[8]
First-principles (GGA-PBE) data for a relaxed CsAgPt crystal, as listed in the Alexandria database. Values from VASP.

Summary:
For the size of the total moment, the calculation gives 0.00 Bohr magnetons per cell. The calculation puts the energy of formation at -0.10 eV per formula unit. As for the space group: P2_1/m, No. 11. As for the relative energy among the computed polymorphs: 0.00 kcal/mol of atoms. As for the density: 8.5 g cm⁻³.

```
&SYSTEM
  ibrav = 0, nat = 6, ntyp = 3
/
ATOMIC_SPECIES
Cs 132.91 Cs.upf
Ag 107.87 Ag.upf
Pt 195.08 Pt.upf
CELL_PARAMETERS angstrom
5.7387 0.0000 0.0000
0.0000 4.7324 0.0000
-2.1378 0.0000 6.2686
ATOMIC_POSITIONS crystal
Cs 0.2415 0.2500 0.4781
Cs 0.7585 0.7500 0.5219
Ag 0.3715 0.7500 0.9858
Ag 0.6285 0.2500 0.0142
Pt 0.0990 0.2500 0.9764
Pt 0.9010 0.7500 0.0236
```


> Among the records above, which one has the highest size of the total moment?

CsYRe2Tc